# SrAgSeO

A relaxed structure of SrAgSeO (PBE, OQMD).

```
16
Lattice="-0.942 2.660 2.456 -5.473 2.556 -4.866 -8.123 -7.619 5.135" Properties=species:S:1:pos:R:3 pbc="T T T"
O -5.943 2.862 -1.104
O -5.021 -0.118 2.475
O -8.595 -5.265 3.829
O -9.518 -2.285 0.249
Ag -5.498 -2.171 1.667
Ag -4.761 2.366 -2.963
Ag -9.040 -0.232 1.058
Ag -9.778 -4.769 5.687
Sr -9.289 -3.854 2.036
Sr -5.249 1.451 0.689
Sr -8.253 2.479 -1.575
Sr -6.285 -4.881 4.300
Se -2.337 0.367 0.131
Se -7.225 -1.947 3.611
Se -12.201 -2.770 2.593
Se -7.313 -0.456 -0.886
```

Calculated values
Symmetry: No. 62
E in eV per atom: -4.3287

***

# SrAgSeO

A relaxed structure of SrAgSeO (PBE, OQMD).

```
8
Lattice="0.991 1.852 6.844 -3.905 1.076 -5.903 -4.052 -4.623 1.838" Properties=species:S:1:pos:R:3 pbc="T T T"
Ag -2.728 -0.234 1.817
Ag -5.257 -2.625 1.424
O -4.066 -1.102 0.375
O -1.204 1.342 1.634
Se -3.779 -2.840 6.673
Se -5.122 -1.062 -3.017
Sr -7.114 -3.363 -2.027
Sr -1.775 -0.527 5.679
```

Calculated values
Symmetry: No. 36
E in eV per atom: -4.3512

***

# SrAgSeO

A relaxed structure of SrAgSeO (PBE, OQMD).

```
16
Lattice="-4.428 2.048 -5.562 -2.632 -6.158 -0.172 -4.488 1.800 4.236" Properties=species:S:1:pos:R:3 pbc="T T T"
O -5.814 -4.092 2.377
O -5.507 -2.011 -2.022
O -3.043 0.566 -1.544
O -8.733 0.917 -1.806
Se -5.886 2.089 -0.319
Se -2.901 -1.989 0.724
Se -7.405 -3.564 -4.405
Se -6.906 -1.156 1.005
Ag -6.505 -2.247 3.429
Ag -4.976 -3.782 -3.274
Ag -4.714 -0.331 -0.367
Ag -6.902 1.741 -2.783
Sr -4.258 -0.479 -3.559
Sr -7.949 -1.431 -2.188
Sr -5.427 0.995 2.836
Sr -5.463 -3.705 -0.084
```

Calculated values
Symmetry: No. 19
E in eV per atom: -4.4462

***

# SrAgSeO

A relaxed structure of SrAgSeO (PBE, OQMD).

```
8
Lattice="-3.550 0.000 0.000 0.000 0.000 -6.046 -1.775 -7.451 0.000" Properties=species:S:1:pos:R:3 pbc="T T T"
Ag -1.775 -5.638 -4.534
Ag -3.550 -1.813 -1.511
Se -3.550 -3.781 -4.534
Se -1.775 -3.669 -1.511
O 0.000 0.000 -3.023
O 0.000 0.000 0.000
Sr -1.775 -1.011 -4.534
Sr -3.550 -6.439 -1.511
```

Calculated values
Symmetry: No. 63
E in eV per atom: -4.4100

***

# SrAgSeO

A relaxed structure of SrAgSeO (PBE, OQMD).

```
8
Lattice="-3.754 1.323 -0.870 0.530 -3.692 1.640 -0.899 4.910 11.349" Properties=species:S:1:pos:R:3 pbc="T T T"
Ag -0.899 4.910 11.347
Ag -0.450 2.454 5.673
Se -2.402 0.067 0.926
Se -1.424 0.850 7.437
O -0.740 4.042 9.343
O -0.291 1.587 3.669
Sr -3.028 3.482 8.819
Sr -1.150 -0.645 3.981
```

Calculated values
Symmetry: No. 186
E in eV per atom: -4.4774

***

# SrAgSeO

A relaxed structure of SrAgSeO (PBE, OQMD).

```
8
Lattice="-3.739 0.000 0.000 0.000 0.000 -6.046 -1.870 -7.263 0.000" Properties=species:S:1:pos:R:3 pbc="T T T"
O 0.000 0.000 -3.023
O 0.000 0.000 0.000
Ag -1.870 -1.036 -4.534
Ag -3.739 -6.227 -1.512
Se -1.870 -4.388 -1.512
Se -3.739 -2.875 -4.534
Sr -1.870 -5.427 -4.534
Sr -3.739 -1.836 -1.512
```

Calculated values
Symmetry: No. 63
E in eV per atom: -4.1550

***

# SrAgSeO

A relaxed structure of SrAgSeO (PBE, OQMD).

```
16
Lattice="-5.187 2.470 2.847 -2.083 -0.116 -3.695 -4.415 -12.595 2.884" Properties=species:S:1:pos:R:3 pbc="T T T"
Se -5.745 -10.815 2.359
Se -6.986 -5.723 2.899
Se -5.940 0.574 -0.324
Se -4.699 -4.518 -0.865
Sr -3.292 -0.539 -1.782
Sr -7.326 -3.415 0.582
Sr -4.359 -6.826 1.453
Sr -8.393 -9.702 3.817
O -6.191 -2.275 2.343
O -8.852 -8.911 1.614
O -5.494 -7.965 -0.308
O -2.833 -1.330 0.421
Ag -6.975 -9.257 0.567
Ag -2.552 -3.460 0.329
Ag -9.133 -6.780 1.706
Ag -4.710 -0.984 1.468
```

Calculated values
Symmetry: No. 62
E in eV per atom: -4.3530

***

# SrAgSeO

A relaxed structure of SrAgSeO (PBE, OQMD).

```
16
Lattice="-0.591 -5.992 1.620 -2.475 -2.177 -8.954 6.003 -0.976 -1.422" Properties=species:S:1:pos:R:3 pbc="T T T"
Se 1.882 -7.285 -2.307
Se 1.435 -4.943 -5.804
Se -0.826 -3.823 -2.400
Se -1.273 -1.481 -5.898
O 1.068 -8.049 -7.654
O -1.749 -5.699 -7.447
O 3.424 -3.241 -1.010
O 0.606 -0.891 -0.803
Sr 2.254 -4.239 -2.838
Sr 1.655 -2.030 -6.886
Sr -1.641 -4.529 -5.367
Sr -1.042 -6.737 -1.320
Ag 5.510 -3.629 -1.477
Ag 3.147 -8.444 -8.148
Ag 2.703 -1.176 -1.297
Ag 0.340 -5.991 -7.969
```

Calculated values
Symmetry: No. 29
E in eV per atom: -4.2610

***

> E of number 3 (SrAgSeO)?

-4.4462 eV per atom

***

> Among the records above, which one has the lowest E?

number 5

***

> Look up the E of the seventh one.

-4.3530 eV per atom